Entry 1:
VASP calculation (PBE-GGA) on an optimized crystal structure of PmH3Pt.

```
PmH3Pt
1.0
3.6046 -0.0004 -1.1750
-0.0783 5.0257 -0.2389
0.0337 -0.1274 6.2329
H Pm Pt
6 2 2
direct
0.5784 0.7307 0.5129
0.3730 0.7302 0.1006
0.9854 0.9952 0.3254
0.7640 0.2088 0.8826
0.3740 0.2375 0.1031
0.1556 0.4510 0.6666
0.2022 0.9641 0.7593
0.9340 0.4765 0.2233
0.6517 0.4356 0.6594
0.4801 0.9946 0.3147
```

N(E_F)	0.8	states/eV/f.u.
ΔE to the lowest computed polymorph	0.015	eV per atom

=====

Entry 2:
VASP calculation (PBE-GGA) on an optimized crystal structure of ZrTl2Pt.

```
ZrTl2Pt
1.0
6.0111 -0.0105 -0.0037
2.9658 5.2285 0.0037
-4.0627 -3.3414 2.9090
Tl Zr Pt
2 1 1
direct
0.9751 0.9751 0.0000
0.2578 0.7578 0.5000
0.5380 0.5380 0.0000
0.7291 0.2291 0.5000
```

energy relative to the elements	-118	meV per atom
N(E_F)	2.2	states/eV/f.u.
ΔE to the lowest computed polymorph	0.161	eV per atom

=====

Entry 3:
VASP calculation (PBE-GGA) on an optimized crystal structure of MgO.

```
MgO
1.0
3.2967 0.0000 0.0000
-1.6483 2.8550 0.0000
0.0000 0.0000 15.6350
O Mg
6 6
direct
0.6667 0.3333 0.8140
0.3333 0.6667 0.1484
0.3333 0.6667 0.4797
0.0000 0.0000 0.9816
0.0000 0.0000 0.6471
0.0000 0.0000 0.3140
0.0000 0.0000 0.5180
0.0000 0.0000 0.8524
0.6667 0.3333 0.6863
0.3333 0.6667 0.0205
0.0000 0.0000 0.1861
0.3333 0.6667 0.3518
```

ΔE_f (raw)	-2622	meV/atom
N(E_F)	0.0	states/eV/f.u.

=====

Entry 4:
VASP calculation (PBE-GGA) on an optimized crystal structure of LaSc2Ru.

```
LaSc2Ru
1.0
-1.8862 -3.5228 -1.3655
-0.5101 -1.2790 4.0044
-4.4487 2.3151 0.1727
Sc La Ru
2 1 1
direct
0.0000 0.0000 0.0000
0.5000 0.5000 0.0000
0.5000 0.0000 0.5000
0.0000 0.5000 0.5000
```

energy relative to the elements	-5	meV per atom
N(E_F)	3.9	states/eV/f.u.
ΔE to the lowest computed polymorph	0.322	eV per atom

=====

Entry 5:
VASP calculation (PBE-GGA) on an optimized crystal structure of CeTlCl6.

```
CeTlCl6
1.0
6.8328 0.0084 0.0084
3.4076 5.9210 0.0128
3.4075 1.9694 6.2888
Cl Tl Ce
6 1 1
direct
0.3978 0.7626 0.7569
0.9173 0.6023 0.2430
0.2375 0.9173 0.2429
0.7625 0.0827 0.7571
0.6022 0.2374 0.2431
0.0827 0.3977 0.7570
0.5000 0.5000 0.5000
0.0000 0.0000 0.0000
```

ΔE_f (raw)	-1441	meV/atom
N(E_F)	6.0	states/eV/f.u.

=====

Entry 6:
VASP calculation (PBE-GGA) on an optimized crystal structure of Ac3Zn.

```
Ac3Zn
1.0
-0.2264 -3.0477 -2.6776
3.9471 2.7921 -3.5118
2.8129 -2.7935 6.0247
Zn Ac
1 3
direct
0.0000 0.9164 0.0000
0.2915 0.7084 0.5831
0.5000 0.4166 0.0000
0.7085 0.1253 0.4169
```

energy relative to the elements	-70	meV per atom
N(E_F)	4.6	states/eV/f.u.
ΔE to the lowest computed polymorph	0.043	eV per atom

=====

Entry 7:
VASP calculation (PBE-GGA) on an optimized crystal structure of Pu8Rh5Au.

```
Pu8Rh5Au
1.0
-0.5729 -1.3544 7.2814
-2.8814 -5.7141 -3.7721
7.1346 0.8198 -1.8994
Pu Rh Au
8 5 1
direct
0.6415 0.9040 0.8782
0.1218 0.7633 0.0257
0.4883 0.6111 0.2470
0.6359 0.3889 0.8773
0.2624 0.2367 0.3585
0.9743 0.0960 0.7376
0.1227 0.7586 0.5117
0.7530 0.2414 0.3641
0.3719 0.1230 0.9857
0.0143 0.3862 0.1373
0.5000 0.0000 0.5000
0.8627 0.8770 0.2489
0.7511 0.6138 0.6281
0.2500 0.5000 0.7500
```

energy relative to the elements	-365	meV per atom
N(E_F)	60.9	states/eV/f.u.

=====

Entry 8:
VASP calculation (PBE-GGA) on an optimized crystal structure of La3TbEr7.

```
La3TbEr7
1.0
-2.6220 -1.5015 5.0091
8.2346 1.4052 1.3243
-0.2143 8.3955 -1.0029
Tb Er La
1 7 3
direct
0.5000 0.5000 0.5000
0.7071 0.4048 0.0099
0.2929 0.5952 0.9901
0.2070 0.2078 0.2078
0.0000 0.5000 0.5000
0.7930 0.7922 0.7922
0.2929 0.9901 0.5952
0.7071 0.0099 0.4048
0.0000 0.7847 0.2153
0.5000 0.0000 0.0000
0.0000 0.2153 0.7847
```

energy relative to the elements	282	meV per atom
N(E_F)	14.9	states/eV/f.u.
ΔE to the lowest computed polymorph	0.123	eV per atom

=====

Entry 9:
VASP calculation (PBE-GGA) on an optimized crystal structure of LaInCu3.

```
LaInCu3
1.0
4.8484 0.0000 0.0000
0.0000 4.8484 0.0000
0.0000 0.0000 4.8484
Cu La In
3 1 1
direct
0.5000 0.0000 0.0000
0.0000 0.0000 0.5000
0.0000 0.5000 0.0000
0.5000 0.5000 0.5000
0.0000 0.0000 0.0000
```

energy relative to the elements	236	meV per atom
N(E_F)	4.1	states/eV/f.u.
ΔE to the lowest computed polymorph	0.368	eV per atom

=====

Entry 10:
VASP calculation (PBE-GGA) on an optimized crystal structure of UCu5Pt6.

```
UCu5Pt6
1.0
-0.8401 3.8318 -1.0052
-7.2250 -1.7223 -0.5272
-1.1637 3.2678 5.2723
Pt U Cu
6 1 5
direct
0.8319 0.2586 0.3361
0.5000 0.2531 0.0000
0.5000 0.7469 0.0000
0.1680 0.2586 0.6639
0.8320 0.7414 0.3361
0.1681 0.7414 0.6639
0.0000 0.0000 0.0000
0.3376 0.5000 0.3248
0.6624 0.5000 0.6752
0.6781 0.0000 0.6438
0.3219 0.0000 0.3562
0.0000 0.5000 0.0000
```

energy relative to the elements	-337	meV per atom
N(E_F)	6.2	states/eV/f.u.

=====

Entry 11:
VASP calculation (PBE-GGA) on an optimized crystal structure of TbSmHo2Tm.

```
TbSmHo2Tm
1.0
-5.2901 2.7196 -2.2140
-3.1310 -5.4707 0.7612
-0.5017 4.9913 7.3299
Tm Ho Sm Tb
2 4 2 2
direct
0.7500 0.7491 0.4982
0.2500 0.2509 0.5018
0.0000 0.7500 0.0000
0.0000 0.2500 0.0000
0.5000 0.7500 0.0000
0.5000 0.2500 0.0000
0.2500 0.6578 0.3157
0.7500 0.3422 0.6843
0.7500 0.1566 0.3132
0.2500 0.8434 0.6868
```

energy relative to the elements	370	meV per atom
N(E_F)	8.4	states/eV/f.u.

=====

Entry 12:
VASP calculation (PBE-GGA) on an optimized crystal structure of Si2HgSe.

```
Si2HgSe
1.0
4.8237 0.0000 0.0000
0.0000 2.7375 -0.0532
0.0000 -2.7303 6.5933
Si Se Hg
2 1 1
direct
0.0000 0.9440 0.9393
0.0000 0.5560 0.5607
0.5000 0.7500 0.7500
0.5000 0.2500 0.2500
```

ΔE_f (raw)	420	meV/atom
N(E_F)	1.2	states/eV/f.u.
ΔE to the lowest computed polymorph	0.270	eV per atom

=====

Entry 13:
VASP calculation (PBE-GGA) on an optimized crystal structure of Y2TmScS6.

```
Y2TmScS6
1.0
6.7856 0.0005 0.0002
3.3932 5.8763 0.0000
3.3927 1.9591 6.0628
Tm S Sc Y
1 6 1 2
direct
0.8175 0.8176 0.5473
0.5965 0.2104 0.2533
0.9398 0.5966 0.2533
0.4267 0.7037 0.7594
0.2103 0.9397 0.2533
0.1101 0.4268 0.7594
0.7038 0.1100 0.7594
0.3200 0.3199 0.0401
0.0175 0.0176 0.9475
0.5193 0.5193 0.4421
```

ΔE_f (raw)	-2011	meV/atom
N(E_F)	0.0	states/eV/f.u.

=====

Entry 14:
VASP calculation (PBE-GGA) on an optimized crystal structure of MgAlCl.

```
MgAlCl
1.0
4.9387 0.0000 0.0000
2.4694 4.2770 0.0000
2.4694 1.4257 4.0324
Cl Mg Al
1 1 1
direct
0.5000 0.5000 0.5000
0.7500 0.7500 0.7500
0.0000 0.0000 0.0000
```

ΔE_f (raw)	73	meV/atom
N(E_F)	0.7	states/eV/f.u.
ΔE to the lowest computed polymorph	0.589	eV per atom

=====

Entry 15:
VASP calculation (PBE-GGA) on an optimized crystal structure of ZrAl2Au.

```
ZrAl2Au
1.0
3.1601 0.0000 0.0000
0.0000 3.1600 0.0000
0.0000 0.0000 7.1497
Zr Al Au
1 2 1
direct
0.5000 0.5000 0.7500
0.0000 0.0000 0.4746
0.0000 0.0000 0.0254
0.5000 0.5000 0.2500
```

energy relative to the elements	-415	meV per atom
N(E_F)	2.0	states/eV/f.u.

=====

Entry 16:
VASP calculation (PBE-GGA) on an optimized crystal structure of BaBe2W.

```
BaBe2W
1.0
-0.4963 5.1008 -0.5795
-0.8371 0.8089 -5.0245
-2.1859 -2.5343 3.9242
W Be Ba
1 2 1
direct
0.2500 0.7500 0.5000
0.0441 0.0441 0.0000
0.4559 0.4559 0.0000
0.7500 0.2500 0.5000
```

energy relative to the elements	1303	meV per atom
N(E_F)	4.4	states/eV/f.u.
ΔE to the lowest computed polymorph	0.757	eV per atom

=====

Entry 17:
VASP calculation (PBE-GGA) on an optimized crystal structure of CaOs3F.

```
CaOs3F
1.0
-2.2723 -1.7820 -3.9632
-3.2098 -2.3264 2.8864
-2.9291 3.9317 -0.0885
F Ca Os
1 1 3
direct
0.5000 0.5000 0.5000
0.0000 0.0000 0.0000
0.0000 0.0000 0.5000
0.5000 0.0000 0.0000
0.0000 0.5000 0.0000
```

ΔE_f (raw)	3312	meV/atom
N(E_F)	6.4	states/eV/f.u.
ΔE to the lowest computed polymorph	1.905	eV per atom

=====

Entry 18:
VASP calculation (PBE-GGA) on an optimized crystal structure of LiP2.

```
LiP2
1.0
7.9460 0.0171 0.0000
7.1919 3.3788 0.0000
-7.5690 -1.6979 1.7226
Li P
1 2
direct
0.0000 0.0000 0.0000
0.3690 0.3690 0.0000
0.6310 0.6310 0.0000
```

energy relative to the elements	-47	meV per atom
N(E_F)	1.7	states/eV/f.u.
ΔE to the lowest computed polymorph	0.290	eV per atom

=====

Entry 19:
VASP calculation (PBE-GGA) on an optimized crystal structure of CsSiSnSe4.

```
CsSiSnSe4
1.0
6.5481 0.0000 -0.3357
0.0000 7.2239 0.0000
-3.0270 0.0000 9.5689
Se Sn Cs Si
8 2 2 2
direct
0.5926 0.2500 0.8094
0.4422 0.7500 0.5664
0.9768 0.4997 0.2983
0.9768 0.0003 0.2983
0.5578 0.2500 0.4336
0.4074 0.7500 0.1906
0.0232 0.5003 0.7017
0.0232 0.9997 0.7017
0.7797 0.7500 0.4596
0.2203 0.2500 0.5404
0.7275 0.7500 0.9347
0.2725 0.2500 0.0653
0.7897 0.2500 0.6632
0.2103 0.7500 0.3368
```

ΔE_f (raw)	-634	meV/atom
N(E_F)	2.1	states/eV/f.u.

=====

Entry 20:
VASP calculation (PBE-GGA) on an optimized crystal structure of GdGaBi.

```
GdGaBi
1.0
4.1508 0.0000 0.0000
0.0000 4.7911 0.0000
0.0000 -2.3955 4.1492
Ga Bi Gd
1 1 1
direct
0.3052 0.6667 0.3333
0.0724 0.0000 0.0000
0.6225 0.3333 0.6667
```

energy relative to the elements	-383	meV per atom
N(E_F)	3.8	states/eV/f.u.
ΔE to the lowest computed polymorph	0.000	eV per atom